1.
Crystalline Tm4InGeC2 at its relaxed geometry, computed with GGA-PBE.

Structure (POSCAR):
```
Tm4InGeC2
1.0
3.5401 0.0000 0.0000
-1.7700 3.0658 0.0000
0.0000 0.0000 15.4127
Tm In Ge C
4 1 1 2
Direct
0.0000 0.0000 0.1506
0.0000 0.0000 0.8494
0.3333 0.6667 0.3225
0.3333 0.6667 0.6775
0.0000 0.0000 0.5000
0.3333 0.6667 0.0000
0.6667 0.3333 0.2382
0.6667 0.3333 0.7618
```



2.
Crystalline InGeW4C2 at its relaxed geometry, computed with GGA-PBE.

Structure (POSCAR):
```
InGeW4C2
1.0
3.1504 0.0000 0.0000
-1.5752 2.7284 0.0000
0.0000 0.0000 13.2319
In Ge W C
1 1 4 2
Direct
0.0000 0.0000 0.0000
0.3333 0.6667 0.5000
0.0000 0.0000 0.3505
0.0000 0.0000 0.6495
0.3333 0.6667 0.1794
0.3333 0.6667 0.8206
0.6667 0.3333 0.2626
0.6667 0.3333 0.7374
```



3.
Crystalline LaNdGe2Mo2C at its relaxed geometry, computed with GGA-PBE.

Structure (POSCAR):
```
LaNdGe2Mo2C
1.0
11.3466 0.0000 0.0000
0.0000 3.9720 0.0000
-4.2465 0.0000 6.1394
La Nd Ge Mo C
2 2 4 4 2
Direct
0.0000 0.0000 0.0000
0.5000 0.5000 0.0000
0.1468 0.0000 0.5924
0.6468 0.5000 0.5924
0.2139 0.5000 0.9716
0.4336 0.0000 0.6224
0.7139 0.0000 0.9716
0.9336 0.5000 0.6224
0.2763 0.5000 0.3721
0.3724 0.0000 0.2248
0.7763 0.0000 0.3721
0.8724 0.5000 0.2248
0.0750 0.5000 0.3014
0.5750 0.0000 0.3014
```



4.
Crystalline Lu4GeC3 at its relaxed geometry, computed with GGA-PBE.

Structure (POSCAR):
```
Lu4GeC3
1.0
3.4707 0.0000 0.0000
-1.7354 3.0058 0.0000
0.0000 0.0000 26.2777
Lu Ge C
8 2 6
Direct
0.0000 0.0000 0.1587
0.0000 0.0000 0.3413
0.0000 0.0000 0.6587
0.0000 0.0000 0.8413
0.3333 0.6667 0.0552
0.3333 0.6667 0.4448
0.6667 0.3333 0.5552
0.6667 0.3333 0.9448
0.3333 0.6667 0.2500
0.6667 0.3333 0.7500
0.0000 0.0000 0.0000
0.0000 0.0000 0.5000
0.3333 0.6667 0.6119
0.3333 0.6667 0.8881
0.6667 0.3333 0.1119
0.6667 0.3333 0.3881
```



5.
Crystalline Lu4Ge2CN at its relaxed geometry, computed with GGA-PBE.

Structure (POSCAR):
```
Lu4Ge2CN
1.0
3.4565 0.0000 0.0000
-1.7282 2.9934 0.0000
0.0000 0.0000 14.2242
Lu Ge C N
4 2 1 1
Direct
0.3333 0.6667 0.0919
0.3333 0.6667 0.4087
0.6667 0.3333 0.5913
0.6667 0.3333 0.9081
0.3333 0.6667 0.7467
0.6667 0.3333 0.2533
0.0000 0.0000 0.0000
0.0000 0.0000 0.5000
```



6.
Crystalline Lu8Ge2C3N3 at its relaxed geometry, computed with GGA-PBE.

Structure (POSCAR):
```
Lu8Ge2C3N3
1.0
3.4142 0.0000 0.0000
-1.7071 2.9568 0.0000
0.0000 0.0000 25.7000
Lu Ge C N
8 2 3 3
Direct
0.0000 0.0000 0.1558
0.0000 0.0000 0.3368
0.0000 0.0000 0.6632
0.0000 0.0000 0.8442
0.3333 0.6667 0.5571
0.3333 0.6667 0.9481
0.6667 0.3333 0.0519
0.6667 0.3333 0.4429
0.3333 0.6667 0.7561
0.6667 0.3333 0.2439
0.0000 0.0000 0.5000
0.3333 0.6667 0.3845
0.6667 0.3333 0.6155
0.0000 0.0000 0.0000
0.3333 0.6667 0.1080
0.6667 0.3333 0.8920
```



7.
Crystalline Lu4Nb2Ge3C3 at its relaxed geometry, computed with GGA-PBE.

Structure (POSCAR):
```
Lu4Nb2Ge3C3
1.0
5.0701 -2.9424 0.0000
5.0701 2.9424 0.0000
-3.4821 0.0000 13.7908
Lu Nb Ge C
8 4 6 6
Direct
0.0420 0.1922 0.0991
0.1248 0.2994 0.4009
0.1922 0.0420 0.5991
0.2994 0.1248 0.9009
0.7006 0.8752 0.0991
0.8078 0.9580 0.4009
0.8752 0.7006 0.5991
0.9580 0.8078 0.9009
0.3528 0.5262 0.0780
0.4738 0.6472 0.4220
0.5262 0.3528 0.5780
0.6472 0.4738 0.9220
0.1506 0.8494 0.2500
0.3135 0.4182 0.7519
0.4182 0.3135 0.2519
0.5818 0.6865 0.7481
0.6865 0.5818 0.2481
0.8494 0.1506 0.7500
0.0000 0.5000 0.0000
0.1863 0.6570 0.4998
0.3430 0.8137 0.0002
0.5000 0.0000 0.5000
0.6570 0.1863 0.9998
0.8137 0.3430 0.5002
```



8.
Crystalline Lu2Nb4Ge3C3 at its relaxed geometry, computed with GGA-PBE.

Structure (POSCAR):
```
Lu2Nb4Ge3C3
1.0
4.8933 -2.8241 0.0000
4.8933 2.8241 0.0000
-3.4214 0.0000 13.5761
Lu Nb Ge C
4 8 6 6
Direct
0.0383 0.8779 0.6072
0.1221 0.9617 0.8928
0.8779 0.0383 0.1072
0.9617 0.1221 0.3928
0.1969 0.3551 0.0846
0.2959 0.4786 0.4153
0.3551 0.1969 0.5846
0.4786 0.2959 0.9153
0.5214 0.7041 0.0847
0.6449 0.8031 0.4154
0.7041 0.5214 0.5847
0.8031 0.6449 0.9154
0.0871 0.3193 0.7526
0.3193 0.0871 0.2526
0.4869 0.5131 0.7500
0.5131 0.4869 0.2500
0.6807 0.9129 0.7474
0.9129 0.6807 0.2474
0.0000 0.5000 0.5000
0.1705 0.6579 0.0000
0.3421 0.8295 0.5000
0.5000 0.0000 0.0000
0.6579 0.1705 0.5000
0.8295 0.3421 0.0000
```



9.
Crystalline Lu4GePC2 at its relaxed geometry, computed with GGA-PBE.

Structure (POSCAR):
```
Lu4GePC2
1.0
3.5224 0.0000 0.0000
-1.7612 3.0505 0.0000
0.0000 0.0000 13.9118
Lu Ge P C
4 1 1 2
Direct
0.0000 0.0000 0.1416
0.0000 0.0000 0.8584
0.6667 0.3333 0.3307
0.6667 0.3333 0.6693
0.0000 0.0000 0.5000
0.6667 0.3333 0.0000
0.3333 0.6667 0.2387
0.3333 0.6667 0.7613
```



10.
Crystalline Lu4GePbC2 at its relaxed geometry, computed with GGA-PBE.

Structure (POSCAR):
```
Lu4GePbC2
1.0
3.5313 0.0000 0.0000
-1.7657 3.0582 0.0000
0.0000 0.0000 15.0522
Lu Ge Pb C
4 1 1 2
Direct
0.0000 0.0000 0.1504
0.0000 0.0000 0.8496
0.3333 0.6667 0.3223
0.3333 0.6667 0.6777
0.3333 0.6667 0.0000
0.0000 0.0000 0.5000
0.6667 0.3333 0.2398
0.6667 0.3333 0.7602
```



11.
Crystalline Lu4GeC2S at its relaxed geometry, computed with GGA-PBE.

Structure (POSCAR):
```
Lu4GeC2S
1.0
3.5548 0.0000 0.0000
-1.7774 3.0786 0.0000
0.0000 0.0000 13.5596
Lu Ge C S
4 1 2 1
Direct
0.0000 0.0000 0.1371
0.0000 0.0000 0.8629
0.3333 0.6667 0.3285
0.3333 0.6667 0.6715
0.0000 0.0000 0.5000
0.6667 0.3333 0.2332
0.6667 0.3333 0.7668
0.3333 0.6667 0.0000
```



12.
Crystalline Lu4GeSbC2 at its relaxed geometry, computed with GGA-PBE.

Structure (POSCAR):
```
Lu4GeSbC2
1.0
3.5378 0.0000 0.0000
-1.7689 3.0638 0.0000
0.0000 0.0000 14.6510
Lu Ge Sb C
4 1 1 2
Direct
0.0000 0.0000 0.1554
0.0000 0.0000 0.8446
0.3333 0.6667 0.3316
0.3333 0.6667 0.6684
0.3333 0.6667 0.0000
0.0000 0.0000 0.5000
0.6667 0.3333 0.2470
0.6667 0.3333 0.7530
```



Calculated total energy values (in eV/atom) by entry order: -5.952, -9.508, -7.624, -6.627, -6.508, -7.081, -7.291, -8.157, -6.490, -6.175, -6.598, -6.298.